(1)
Entry from Alexandria via LeMat-Bulk: CeYAgRu after structural relaxation (PBE).

The energy relative to the elements comes out at -221 meV per atom. For the energy, the calculation gives -6.352 eV/atom.

Geometry as CIF:
```
data_CeYAgRu
_chemical_formula_sum 'Ce4 Y4 Ag4 Ru4'
_cell_length_a 7.100
_cell_length_b 7.100
_cell_length_c 7.100
_cell_angle_alpha 90.00
_cell_angle_beta 90.00
_cell_angle_gamma 90.00
_symmetry_space_group_name_H-M 'F -4 3 m'
_symmetry_Int_Tables_number 216
_symmetry_space_group_name_Hall 'F -4 2 3'
loop_
_atom_site_label
_atom_site_type_symbol
_atom_site_fract_x
_atom_site_fract_y
_atom_site_fract_z
Ce1 Ce 0.000 0.000 0.000
Y1 Y 0.000 0.000 0.500
Ag1 Ag 0.250 0.250 0.750
Ru1 Ru 0.250 0.250 0.250
```


(2)
Entry from Alexandria via LeMat-Bulk: LaTl2Ag9 after structural relaxation (PBE).

The energy relative to the elements comes out at -44 meV per atom. For the energy, the calculation gives -2.988 eV/atom.

Geometry as CIF:
```
data_LaTl2Ag9
_chemical_formula_sum 'La3 Tl6 Ag27'
_cell_length_a 5.6720
_cell_length_b 5.6720
_cell_length_c 27.9025
_cell_angle_alpha 90.00
_cell_angle_beta 90.00
_cell_angle_gamma 120.00
_symmetry_space_group_name_H-M 'R -3 m'
_symmetry_Int_Tables_number 166
_symmetry_space_group_name_Hall '-R 3 2"'
loop_
_atom_site_label
_atom_site_type_symbol
_atom_site_fract_x
_atom_site_fract_y
_atom_site_fract_z
La1 La 0.0000 0.0000 0.0000
Tl1 Tl 0.0000 0.0000 0.1420
Ag1 Ag 0.0000 0.0000 0.3334
Ag2 Ag 0.0000 0.0000 0.5000
Ag3 Ag 0.0025 0.5013 0.9163
```


(3)
Entry from Alexandria via LeMat-Bulk: BC2 after structural relaxation (PBE).

The energy relative to the elements comes out at 343 meV per atom. Its offset from the most stable computed form is 10.0 kJ/mol of atoms. For the energy, the calculation gives -8.032 eV/atom.

Geometry as CIF:
```
data_BC2
_chemical_formula_sum 'B4 C8'
_cell_length_a 4.656
_cell_length_b 2.538
_cell_length_c 6.468
_cell_angle_alpha 90.00
_cell_angle_beta 91.09
_cell_angle_gamma 90.00
_symmetry_space_group_name_H-M 'P 1 21/m 1'
_symmetry_Int_Tables_number 11
_symmetry_space_group_name_Hall '-P 2yb'
loop_
_atom_site_label
_atom_site_type_symbol
_atom_site_fract_x
_atom_site_fract_y
_atom_site_fract_z
B1 B 0.109 0.250 0.439
B2 B 0.258 0.750 0.121
C1 C 0.068 0.250 0.198
C2 C 0.249 0.750 0.856
C3 C 0.408 0.250 0.785
C4 C 0.429 0.250 0.541
```


(4)
Entry from Alexandria via LeMat-Bulk: BaAsS3 after structural relaxation (PBE).

The value obtained for the uncorrected formation energy is -0.87 eV/atom. For the energy, the calculation gives -4.665 eV/atom.

Geometry as CIF:
```
data_BaAsS3
_chemical_formula_sum 'Ba2 As2 S6'
_cell_length_a 6.109
_cell_length_b 6.688
_cell_length_c 6.979
_cell_angle_alpha 90.00
_cell_angle_beta 110.01
_cell_angle_gamma 90.00
_symmetry_space_group_name_H-M 'P 1 21/m 1'
_symmetry_Int_Tables_number 11
_symmetry_space_group_name_Hall '-P 2yb'
loop_
_atom_site_label
_atom_site_type_symbol
_atom_site_fract_x
_atom_site_fract_y
_atom_site_fract_z
Ba1 Ba 0.180 0.250 0.299
As1 As 0.469 0.750 0.114
S1 S 0.139 0.750 0.177
S2 S 0.341 0.518 0.717
```


(5)
Entry from Alexandria via LeMat-Bulk: Hf2BiSb after structural relaxation (PBE).

The value obtained for the uncorrected formation energy is -0.17 eV/atom. For the energy, the calculation gives -7.145 eV/atom.

Geometry as CIF:
```
data_Hf2BiSb
_chemical_formula_sum 'Hf2 Bi1 Sb1'
_cell_length_a 3.522
_cell_length_b 3.522
_cell_length_c 7.535
_cell_angle_alpha 90.00
_cell_angle_beta 90.00
_cell_angle_gamma 90.00
_symmetry_space_group_name_H-M 'P 4/m m m'
_symmetry_Int_Tables_number 123
_symmetry_space_group_name_Hall '-P 4 2'
loop_
_atom_site_label
_atom_site_type_symbol
_atom_site_fract_x
_atom_site_fract_y
_atom_site_fract_z
Hf1 Hf 0.000 0.000 0.224
Bi1 Bi 0.500 0.500 0.500
Sb1 Sb 0.500 0.500 0.000
```


(6)
Entry from Alexandria via LeMat-Bulk: AsIrBr2 after structural relaxation (PBE).

The value obtained for the uncorrected formation energy is 0.72 eV/atom. Its offset from the most stable computed form is 99.3 kJ/mol of atoms. For the energy, the calculation gives -3.491 eV/atom.

Geometry as CIF:
```
data_AsIrBr2
_chemical_formula_sum 'As3 Ir3 Br6'
_cell_length_a 3.6815
_cell_length_b 3.6815
_cell_length_c 25.7315
_cell_angle_alpha 90.00
_cell_angle_beta 90.00
_cell_angle_gamma 120.00
_symmetry_space_group_name_H-M 'R -3 m'
_symmetry_Int_Tables_number 166
_symmetry_space_group_name_Hall '-R 3 2"'
loop_
_atom_site_label
_atom_site_type_symbol
_atom_site_fract_x
_atom_site_fract_y
_atom_site_fract_z
As1 As 0.0000 0.0000 0.0000
Ir1 Ir 0.0000 0.0000 0.5000
Br1 Br 0.0000 0.0000 0.1099
```


(7)
Entry from Alexandria via LeMat-Bulk: CaAc2La4 after structural relaxation (PBE).

The energy relative to the elements comes out at 30 meV per atom. For the energy, the calculation gives -4.245 eV/atom.

Geometry as CIF:
```
data_CaAc2La4
_chemical_formula_sum 'Ca2 Ac4 La8'
_cell_length_a 12.063
_cell_length_b 5.433
_cell_length_c 8.621
_cell_angle_alpha 90.00
_cell_angle_beta 98.50
_cell_angle_gamma 90.00
_symmetry_space_group_name_H-M 'C 1 2/m 1'
_symmetry_Int_Tables_number 12
_symmetry_space_group_name_Hall '-C 2y'
loop_
_atom_site_label
_atom_site_type_symbol
_atom_site_fract_x
_atom_site_fract_y
_atom_site_fract_z
Ca1 Ca 0.000 0.000 0.000
Ac1 Ac 0.216 0.500 0.151
La1 La 0.073 0.500 0.697
La2 La 0.143 0.000 0.434
```


(8)
Entry from Alexandria via LeMat-Bulk: TbEuAgHg after structural relaxation (PBE).

The energy relative to the elements comes out at -378 meV per atom. For the energy, the calculation gives -4.892 eV/atom.

Geometry as CIF:
```
data_TbEuAgHg
_chemical_formula_sum 'Tb4 Eu4 Ag4 Hg4'
_cell_length_a 7.523
_cell_length_b 7.523
_cell_length_c 7.523
_cell_angle_alpha 90.00
_cell_angle_beta 90.00
_cell_angle_gamma 90.00
_symmetry_space_group_name_H-M 'F -4 3 m'
_symmetry_Int_Tables_number 216
_symmetry_space_group_name_Hall 'F -4 2 3'
loop_
_atom_site_label
_atom_site_type_symbol
_atom_site_fract_x
_atom_site_fract_y
_atom_site_fract_z
Tb1 Tb 0.000 0.000 0.000
Eu1 Eu 0.000 0.000 0.500
Ag1 Ag 0.250 0.250 0.750
Hg1 Hg 0.250 0.250 0.250
```


Look up the energy of the first one. -6.352 eV/atom


The highest energy belongs to which entry? LaTl2Ag9


energy of number 1 (CeYAgRu)? -6.352 eV/atom


Please write out number 4 again, unchanged.
Entry from Alexandria via LeMat-Bulk: BaAsS3 after structural relaxation (PBE).

The value obtained for the uncorrected formation energy is -0.87 eV/atom. For the energy, the calculation gives -4.665 eV/atom.

Geometry as CIF:
```
data_BaAsS3
_chemical_formula_sum 'Ba2 As2 S6'
_cell_length_a 6.109
_cell_length_b 6.688
_cell_length_c 6.979
_cell_angle_alpha 90.00
_cell_angle_beta 110.01
_cell_angle_gamma 90.00
_symmetry_space_group_name_H-M 'P 1 21/m 1'
_symmetry_Int_Tables_number 11
_symmetry_space_group_name_Hall '-P 2yb'
loop_
_atom_site_label
_atom_site_type_symbol
_atom_site_fract_x
_atom_site_fract_y
_atom_site_fract_z
Ba1 Ba 0.180 0.250 0.299
As1 As 0.469 0.750 0.114
S1 S 0.139 0.750 0.177
S2 S 0.341 0.518 0.717
```